# PBEsol VH4NO3, optimized geometry
# Space-group type ... Pbcm
data_VH4NO3
_space_group_name_H-M_alt 'P 1'
_space_group_IT_number 1
_space_group_name_Hall 'P 1'
_cell_length_a 4.658
_cell_length_b 11.906
_cell_length_c 5.842
_cell_angle_alpha 90.00
_cell_angle_beta 90.00
_cell_angle_gamma 90.00
loop_
_atom_site_label
_atom_site_fract_x
_atom_site_fract_y
_atom_site_fract_z
V1 0.041 0.176 0.250
V2 0.041 0.324 0.750
V3 0.959 0.676 0.250
V4 0.959 0.824 0.750
H1 0.245 0.534 0.750
H2 0.245 0.966 0.250
H3 0.379 0.029 0.750
H4 0.379 0.471 0.250
H5 0.440 0.634 0.607
H6 0.440 0.634 0.893
H7 0.440 0.866 0.107
H8 0.440 0.866 0.393
H9 0.560 0.134 0.607
H10 0.560 0.134 0.893
H11 0.560 0.366 0.107
H12 0.560 0.366 0.393
H13 0.621 0.529 0.750
H14 0.621 0.971 0.250
H15 0.755 0.034 0.750
H16 0.755 0.466 0.250
N1 0.438 0.582 0.750
N2 0.438 0.918 0.250
N3 0.562 0.082 0.750
N4 0.562 0.418 0.250
O1 0.065 0.542 0.250
O2 0.065 0.958 0.750
O3 0.077 0.750 0.000
O4 0.077 0.750 0.500
O5 0.392 0.174 0.250
O6 0.392 0.326 0.750
O7 0.608 0.674 0.250
O8 0.608 0.826 0.750
O9 0.923 0.250 0.000
O10 0.923 0.250 0.500
O11 0.935 0.042 0.250
O12 0.935 0.458 0.750

# PBEsol ZrHN2O, optimized geometry
# Space-group type ... P4/mmm
data_ZrHN2O
_space_group_name_H-M_alt 'P 1'
_space_group_IT_number 1
_space_group_name_Hall 'P 1'
_cell_length_a 3.037
_cell_length_b 3.037
_cell_length_c 4.200
_cell_angle_alpha 90.00
_cell_angle_beta 90.00
_cell_angle_gamma 90.00
loop_
_atom_site_label
_atom_site_fract_x
_atom_site_fract_y
_atom_site_fract_z
Zr1 0.000 0.000 0.000
H1 0.500 0.500 0.500
N1 0.000 0.500 0.500
N2 0.500 0.000 0.500
O1 0.500 0.500 0.000

# PBEsol HOsN2, optimized geometry
# Space-group type ... I-42d
data_HOsN2
_space_group_name_H-M_alt 'P 1'
_space_group_IT_number 1
_space_group_name_Hall 'P 1'
_cell_length_a 5.130
_cell_length_b 5.130
_cell_length_c 5.130
_cell_angle_alpha 131.27
_cell_angle_beta 131.27
_cell_angle_gamma 71.38
loop_
_atom_site_label
_atom_site_fract_x
_atom_site_fract_y
_atom_site_fract_z
H1 0.000 0.000 0.000
H2 0.750 0.250 0.500
Os1 0.250 0.750 0.500
Os2 0.500 0.500 0.000
N1 0.097 0.625 0.972
N2 0.375 0.347 0.472
N3 0.653 0.125 0.028
N4 0.875 0.903 0.528

# PBEsol HOs2N, optimized geometry
# E above lowest polymorph ... 0.770 eV per atom
# Space-group type ... Fm-3m
data_HOs2N
_space_group_name_H-M_alt 'P 1'
_space_group_IT_number 1
_space_group_name_Hall 'P 1'
_cell_length_a 3.766
_cell_length_b 3.766
_cell_length_c 3.766
_cell_angle_alpha 60.00
_cell_angle_beta 60.00
_cell_angle_gamma 60.00
loop_
_atom_site_label
_atom_site_fract_x
_atom_site_fract_y
_atom_site_fract_z
H1 0.000 0.000 0.000
Os1 0.250 0.250 0.250
Os2 0.750 0.750 0.750
N1 0.500 0.500 0.500

# PBEsol HOs3N, optimized geometry
# Space-group type ... Pm-3m
data_HOs3N
_space_group_name_H-M_alt 'P 1'
_space_group_IT_number 1
_space_group_name_Hall 'P 1'
_cell_length_a 3.948
_cell_length_b 3.948
_cell_length_c 3.948
_cell_angle_alpha 90.00
_cell_angle_beta 90.00
_cell_angle_gamma 90.00
loop_
_atom_site_label
_atom_site_fract_x
_atom_site_fract_y
_atom_site_fract_z
H1 0.000 0.000 0.000
Os1 0.000 0.500 0.500
Os2 0.500 0.000 0.500
Os3 0.500 0.500 0.000
N1 0.500 0.500 0.500

# PBEsol HOs2N, optimized geometry
# E above lowest polymorph ... 0.000 eV per atom
# Space-group type ... I-42d
data_HOs2N
_space_group_name_H-M_alt 'P 1'
_space_group_IT_number 1
_space_group_name_Hall 'P 1'
_cell_length_a 5.753
_cell_length_b 5.753
_cell_length_c 5.753
_cell_angle_alpha 138.71
_cell_angle_beta 138.71
_cell_angle_gamma 59.82
loop_
_atom_site_label
_atom_site_fract_x
_atom_site_fract_y
_atom_site_fract_z
H1 0.000 0.000 0.000
H2 0.750 0.250 0.500
Os1 0.109 0.625 0.984
Os2 0.375 0.359 0.484
Os3 0.641 0.125 0.016
Os4 0.875 0.891 0.516
N1 0.250 0.750 0.500
N2 0.500 0.500 0.000

# PBEsol Re2HOsN, optimized geometry
# Space-group type ... P4/mmm
data_Re2HOsN
_space_group_name_H-M_alt 'P 1'
_space_group_IT_number 1
_space_group_name_Hall 'P 1'
_cell_length_a 4.716
_cell_length_b 4.716
_cell_length_c 3.031
_cell_angle_alpha 90.00
_cell_angle_beta 90.00
_cell_angle_gamma 90.00
loop_
_atom_site_label
_atom_site_fract_x
_atom_site_fract_y
_atom_site_fract_z
Re1 0.000 0.500 0.000
Re2 0.500 0.000 0.000
H1 0.000 0.000 0.500
Os1 0.000 0.000 0.000
N1 0.500 0.500 0.500

# PBEsol H2OsRhN, optimized geometry
# Space-group type ... P4/mmm
data_H2OsRhN
_space_group_name_H-M_alt 'P 1'
_space_group_IT_number 1
_space_group_name_Hall 'P 1'
_cell_length_a 3.146
_cell_length_b 3.146
_cell_length_c 4.291
_cell_angle_alpha 90.00
_cell_angle_beta 90.00
_cell_angle_gamma 90.00
loop_
_atom_site_label
_atom_site_fract_x
_atom_site_fract_y
_atom_site_fract_z
H1 0.000 0.500 0.000
H2 0.500 0.000 0.000
Os1 0.000 0.000 0.500
Rh1 0.500 0.500 0.000
N1 0.500 0.500 0.500

# PBEsol HOsSeN2, optimized geometry
# Space-group type ... P4/mmm
data_HOsSeN2
_space_group_name_H-M_alt 'P 1'
_space_group_IT_number 1
_space_group_name_Hall 'P 1'
_cell_length_a 3.700
_cell_length_b 3.700
_cell_length_c 5.272
_cell_angle_alpha 90.00
_cell_angle_beta 90.00
_cell_angle_gamma 90.00
loop_
_atom_site_label
_atom_site_fract_x
_atom_site_fract_y
_atom_site_fract_z
H1 0.000 0.000 0.000
Os1 0.500 0.500 0.500
Se1 0.500 0.500 0.000
N1 0.000 0.500 0.500
N2 0.500 0.000 0.500

# PBEsol H3PbN, optimized geometry
# Space-group type ... Pm-3m
data_H3PbN
_space_group_name_H-M_alt 'P 1'
_space_group_IT_number 1
_space_group_name_Hall 'P 1'
_cell_length_a 3.995
_cell_length_b 3.995
_cell_length_c 3.995
_cell_angle_alpha 90.00
_cell_angle_beta 90.00
_cell_angle_gamma 90.00
loop_
_atom_site_label
_atom_site_fract_x
_atom_site_fract_y
_atom_site_fract_z
H1 0.000 0.000 0.500
H2 0.000 0.500 0.000
H3 0.500 0.000 0.000
Pb1 0.000 0.000 0.000
N1 0.500 0.500 0.500

# PBEsol H2PbN, optimized geometry
# Space-group type ... I4_1/amd
data_H2PbN
_space_group_name_H-M_alt 'P 1'
_space_group_IT_number 1
_space_group_name_Hall 'P 1'
_cell_length_a 4.747
_cell_length_b 4.747
_cell_length_c 4.747
_cell_angle_alpha 120.08
_cell_angle_beta 120.08
_cell_angle_gamma 89.87
loop_
_atom_site_label
_atom_site_fract_x
_atom_site_fract_y
_atom_site_fract_z
H1 0.000 0.000 0.000
H2 0.000 0.000 0.500
H3 0.000 0.500 0.000
H4 0.500 0.000 0.500
Pb1 0.375 0.625 0.750
Pb2 0.625 0.375 0.250
N1 0.125 0.875 0.250
N2 0.875 0.125 0.750

# PBEsol HPd2N, optimized geometry
# Space-group type ... Fm-3m
data_HPd2N
_space_group_name_H-M_alt 'P 1'
_space_group_IT_number 1
_space_group_name_Hall 'P 1'
_cell_length_a 3.807
_cell_length_b 3.807
_cell_length_c 3.807
_cell_angle_alpha 60.00
_cell_angle_beta 60.00
_cell_angle_gamma 60.00
loop_
_atom_site_label
_atom_site_fract_x
_atom_site_fract_y
_atom_site_fract_z
H1 0.000 0.000 0.000
Pd1 0.250 0.250 0.250
Pd2 0.750 0.750 0.750
N1 0.500 0.500 0.500

no.,total energy (eV per atom)
1,-6.5469
2,-7.1585
3,-7.2640
4,-7.6892
5,-8.3225
6,-8.4588
7,-7.8731
8,-6.2011
9,-6.3448
10,-3.0898
11,-4.2120
12,-4.9708